This record from Alexandria describes a relaxed structure of GdZrIrPt. The functional is GGA-PBE.

Geometry as POSCAR:
```
GdZrIrPt
1.0
-4.319 1.351 1.672
-3.716 -3.073 -0.158
-1.716 -1.921 4.079
Pt Ir Zr Gd
1 1 1 1
Direct
0.750 0.750 0.750
0.250 0.250 0.250
0.500 0.500 0.500
0.000 0.000 0.000
```

## Properties
Crystal system: cubic
Magnetic moment (μB/f.u.): 7.288
Formation energy (eV/atom): -0.826
Space group: F-43m, No. 216